First-principles (PBE) data for a relaxed structure of ZnCdGaBi, as listed in Alexandria via LeMat-Bulk.

Unit cell a=5.1185 b=5.1185 c=5.1185 alpha=60.00 beta=60.00 gamma=60.00
Sites, in units of the cell vectors:
Zn: 0.5000 0.5000 0.5000
Bi: 0.2500 0.2500 0.2500
Ga: 0.0000 0.0000 0.0000
Cd: 0.7500 0.7500 0.7500

DFT formation energy, eV per atom: 0.12
Theoretical density, g/cm3: 8.0
Space-group type: F-43m (216)